LaSmI2BrN, relaxed, DFT PBE-GGA; total energy = -5.395 eV per atom; energy above the lowest structure with this stoichiometry = 53 meV/atom
1.0
-1.2852 8.0645 -5.8530
-4.9343 6.2487 -6.1279
-0.8922 -0.0682 12.2947
Br I La N Sm
2 4 2 2 2
Cartesian
-2.4694 4.6293 2.2033
-4.6422 9.6158 -1.8896
-1.5509 3.2774 -1.0604
-6.2686 13.8411 -8.2103
-0.8430 0.4039 8.5240
-5.5608 10.9676 1.3742
-2.6859 6.0972 -4.6194
-4.4257 8.1478 4.9331
-3.7073 8.2070 -4.9956
-3.4043 6.0380 5.3094
-1.1052 1.9360 1.8835
-6.0065 12.3090 -1.5698

KLiPa, relaxed, DFT PBE-GGA; total energy = -2.588 eV per atom; energy above the lowest structure with this stoichiometry = 0 meV/atom
1.0
5.0191 -1.7128 1.1165
3.3448 3.1213 2.9054
1.3160 -1.4176 5.0626
K Li Pa
1 1 1
Cartesian
2.4200 -0.0023 2.2711
0.0000 0.0000 0.0000
7.2599 -0.0069 6.8134

TaAsPt2, relaxed, DFT PBE-GGA; total energy = -7.417 eV per atom
1.0
2.8122 -3.0648 -1.7600
-0.1950 -4.2973 1.3764
-1.5870 -3.1904 -2.7753
As Pt Ta
1 2 1
Cartesian
0.5151 -5.2763 -1.5794
0.0000 0.0000 0.0000
0.7727 -7.9144 -2.3692
0.2576 -2.6381 -0.7897

Y3Er2Lu2Ni2Te2, relaxed, DFT PBE-GGA; total energy = -5.683 eV per atom; energy above the lowest structure with this stoichiometry = 12 meV/atom
1.0
2.1386 -8.3809 -3.3887
-0.9130 0.9600 9.1946
-2.8849 -1.2343 -8.7435
Er Lu Ni Te Y
2 2 2 2 3
Cartesian
-0.0209 -2.5039 -1.6990
-0.4894 -8.5401 -9.3154
0.8064 -6.9723 2.5489
-1.8579 -5.3634 -2.6071
0.2975 -5.5398 -0.8645
-2.1926 -1.6877 -3.1901
0.2944 -1.7823 1.3944
-0.1979 -5.8690 -5.2358
-1.3164 -1.8072 4.1151
0.2105 -8.3412 -3.3016
-1.5126 -4.3344 0.9263

Nd3Dy3CoTe2, relaxed, DFT PBE-GGA; total energy = -5.316 eV per atom
1.0
-1.3870 -7.4345 -3.8405
-0.8558 0.6520 8.4135
-3.8427 0.9571 -0.4650
Co Dy Nd Te
1 3 3 2
Cartesian
-1.9213 0.4786 -0.2325
-0.3219 -1.7253 -0.8913
-0.1986 0.1513 1.9525
-1.7223 -5.2085 3.5117
-2.7484 -3.9543 -2.5225
-2.8269 -2.2598 1.6138
-2.4316 0.8673 4.7841
-1.2099 -4.7390 0.2442
-1.0329 -2.0435 4.3288

NdMgCu, relaxed, DFT PBE-GGA; total energy = -3.373 eV per atom
1.0
0.0000 3.3339 3.3339
3.3339 0.0000 3.3339
3.3339 3.3339 0.0000
Cu Mg Nd
1 1 1
Cartesian
0.0000 0.0000 0.0000
1.6670 1.6670 1.6670
5.0009 5.0009 5.0009

CsRb2NbF6, relaxed, DFT PBE-GGA; total energy = -5.029 eV per atom
1.0
2.4306 -4.4327 4.2588
3.8052 1.9872 5.0265
-2.3064 -0.2463 6.1898
Cs F Nb Rb
1 6 1 2
Cartesian
0.0000 0.0000 0.0000
2.1704 -2.7090 6.2013
2.7774 0.1259 6.5403
3.8507 -1.8315 8.4210
0.0786 -0.8604 7.0540
1.1519 -2.8178 8.9347
1.7589 0.0172 9.2737
1.9647 -1.3459 7.7375
0.9823 -0.6730 3.8688
2.9470 -2.0189 11.6063

Hf2CoAs2, relaxed, DFT PBE-GGA; total energy = -7.081 eV per atom
1.0
3.2844 -3.2844 0.0000
3.2844 3.2844 0.0000
-3.2844 0.0000 4.9535
As Co Hf
2 1 2
Cartesian
3.2844 0.0000 1.2309
0.0000 0.0000 3.7227
0.0000 0.0000 0.0000
1.6422 -1.6422 2.4768
1.6422 1.6422 2.4768

BeAsIrO, relaxed, DFT PBE-GGA; total energy = -6.510 eV per atom; energy above the lowest structure with this stoichiometry = 0 meV/atom
1.0
3.6806 0.0000 0.0000
0.0000 3.6806 0.0000
0.0000 0.0000 8.7638
As Be Ir O
2 2 2 2
Cartesian
0.0000 1.8403 2.7585
1.8403 0.0000 6.0052
0.0000 1.8403 0.0945
1.8403 0.0000 8.6692
0.0000 0.0000 4.3819
1.8403 1.8403 4.3819
0.0000 0.0000 0.0000
1.8403 1.8403 0.0000

GdDyAl2Pt4, relaxed, DFT PBE-GGA; total energy = -6.302 eV per atom
1.0
4.3476 0.0000 0.0000
-2.1738 3.7651 0.0000
0.0000 0.0000 9.2900
Al Dy Gd Pt
2 1 1 4
Cartesian
0.0000 0.0000 2.3128
0.0000 0.0000 6.9772
2.1738 1.2550 0.0000
0.0000 2.5101 4.6450
0.0000 2.5101 1.5323
2.1738 1.2550 3.0651
2.1738 1.2550 6.2249
0.0000 2.5101 7.7577

NdScH2Br4, relaxed, DFT PBE-GGA; total energy = -4.447 eV per atom
1.0
-0.0783 1.6578 -3.4341
2.9586 -2.1932 0.9919
-6.8731 -11.7707 -5.5254
Br H Nd Sc
4 2 1 1
Cartesian
1.0058 -2.5203 -1.2396
-1.6690 -4.0837 -4.0514
-3.3361 -6.9388 -5.3916
-3.9863 -11.0695 -5.2528
0.9340 0.3741 -1.9588
-1.4902 -6.7949 -3.2462
0.0000 0.0000 0.0000
-3.4365 -5.8854 -2.7627

GdPtSO, relaxed, DFT PBE-GGA; total energy = -5.868 eV per atom; energy above the lowest structure with this stoichiometry = 767 meV/atom
1.0
1.9203 -3.3260 0.0000
-3.8405 0.0000 0.0000
1.9203 -1.1087 -13.0479
Gd O Pt S
2 2 2 2
Cartesian
-1.9203 -1.1087 -3.6662
1.9203 -3.3260 -9.3817
-1.9203 -1.1087 -1.4024
1.9203 -3.3260 -11.6454
0.0000 -2.2173 -1.4494
0.0000 -2.2173 -11.5985
1.9203 -3.3260 -5.0386
-1.9203 -1.1087 -8.0092

LiZrBPt, relaxed, DFT PBE-GGA; total energy = -5.977 eV per atom; energy above the lowest structure with this stoichiometry = 143 meV/atom
1.0
-2.4569 -2.4975 2.5853
-3.4956 -2.0305 -1.6172
0.0271 -4.3266 -0.4875
B Li Pt Zr
1 1 1 1
Cartesian
0.0000 0.0000 0.0000
-4.4441 -6.6410 0.3605
-2.9627 -4.4273 0.2403
-1.4814 -2.2137 0.1202

ZrAlNiAu, relaxed, DFT PBE-GGA; total energy = -5.867 eV per atom
1.0
4.2918 0.0000 0.0000
-2.1459 3.7168 0.0000
0.0000 0.0000 8.4526
Al Au Ni Zr
2 2 2 2
Cartesian
0.0000 0.0000 1.7729
0.0000 0.0000 6.6797
0.0000 2.4779 2.8038
0.0000 2.4779 5.6487
2.1459 1.2390 1.3786
2.1459 1.2390 7.0740
0.0000 2.4779 0.0000
2.1459 1.2390 4.2263

Zr2CoB6, relaxed, DFT PBE-GGA; total energy = -7.872 eV per atom
1.0
-6.2006 -2.1351 -6.0231
7.9694 -4.0483 -6.7691
-0.3347 -3.0321 1.4194
B Co Zr
24 4 8
Cartesian
-3.6979 -2.9235 -3.1296
0.0274 -1.8901 -0.0435
-1.0669 -2.3722 -1.3315
-2.6425 -3.6109 -4.3490
-4.5835 -4.4652 -6.6317
-0.1067 -3.1135 -2.6886
-3.0197 -4.2762 -5.8592
-0.8505 -3.7190 -4.1575
1.5269 -3.0864 -2.2455
-1.4647 -4.8126 -6.6385
-0.1232 -4.4560 -5.5604
2.9371 -3.6516 -3.1203
-1.5029 -5.5640 -8.2526
1.5574 -4.7595 -5.8125
2.8989 -4.4029 -4.7345
-0.0927 -6.1291 -9.1274
2.2846 -5.4965 -7.2154
4.4539 -4.9394 -5.5137
1.5409 -6.1020 -8.6843
6.0176 -4.7503 -4.7412
4.0767 -5.6046 -7.0239
2.5010 -6.8433 -10.0414
1.4067 -7.3254 -11.3294
5.1321 -6.2920 -8.2434
0.5501 -1.0354 -2.0823
-1.4397 -2.6671 -6.0371
3.2085 -3.5163 -6.7552
1.2187 -5.1480 -10.7100
-4.4278 -2.1126 -5.5572
-1.7183 -1.4760 -3.5583
-2.9090 -3.5136 -8.1918
1.2775 -2.3684 -4.7583
0.4913 -3.8150 -8.0340
4.6778 -2.6698 -4.6004
3.4871 -4.7074 -9.2340
6.1966 -4.0708 -7.2351

LiGa2Ag2, relaxed, DFT PBE-GGA; total energy = -2.870 eV per atom
1.0
0.0000 6.9963 2.4991
4.8136 0.0000 2.4991
4.8136 6.9963 0.0000
Ag Ga Li
4 4 2
Cartesian
4.8644 4.3361 3.4384
2.3560 7.8343 2.1889
4.7628 9.6565 3.4384
7.2711 6.1584 2.1889
2.4843 4.8997 2.1637
4.8911 5.5948 0.9142
4.7360 8.3979 0.9142
7.1428 9.0929 2.1637
4.8136 6.9963 3.3864
7.2204 10.4945 4.6360

FeSiB2, relaxed, DFT PBE-GGA; total energy = -5.840 eV per atom
1.0
0.0000 2.5919 2.5919
2.5919 0.0000 2.5919
2.5919 2.5919 0.0000
B Fe Si
2 1 1
Cartesian
0.0000 0.0000 0.0000
3.8878 3.8878 3.8878
1.2959 1.2959 1.2959
2.5919 2.5919 2.5919

NiHgGeMo, relaxed, DFT PBE-GGA; total energy = -4.626 eV per atom; energy above the lowest structure with this stoichiometry = 286 meV/atom
1.0
0.0000 3.2339 3.2339
3.2339 0.0000 3.2339
3.2339 3.2339 0.0000
Ge Hg Mo Ni
1 1 1 1
Cartesian
0.0000 0.0000 0.0000
1.6169 1.6169 1.6169
3.2339 3.2339 3.2339
4.8509 4.8509 4.8509

Zr, relaxed, DFT PBE-GGA; formation enthalpy at 0 K = 0.003 eV/atom; total energy = -8.544 eV per atom; energy above the lowest structure with this stoichiometry = 3 meV/atom
1.0
3.2066 0.0000 0.0000
1.6033 2.7875 0.0000
0.0000 0.0000 5.1834
Zr
2
Cartesian
3.2066 0.9611 1.2958
1.6033 1.8265 3.8875

TbPtO3, relaxed, DFT PBE-GGA; total energy = -6.644 eV per atom
1.0
-5.1812 -2.2956 1.3365
-1.2370 -5.4625 -1.5913
-0.3538 -4.1767 4.0412
O Pt Tb
6 2 2
Cartesian
-3.1217 -5.3993 -0.3029
-5.5640 -6.3313 1.3106
-4.1354 -3.9158 2.5601
-2.6367 -8.0191 1.2264
-1.2080 -5.6035 2.4759
-3.6504 -6.5356 4.0894
-1.6930 -2.9837 0.9466
-5.0791 -8.9511 2.8398
0.0000 0.0000 0.0000
-3.3860 -5.9674 1.8932